[1]
PBE-GGA Na2NpPaS5, relaxed; spin magnetization = 4.0 μB per formula unit; DOS at the Fermi energy = 8.84 states/eV per cell; E_tot = -6.145 eV per atom; V = 266 Å³/f.u.; formation energy from raw total energies = -1.07 eV/atom
1.0
5.029 0.000 0.000
0.000 5.029 0.000
0.000 0.000 10.525
Na Np Pa S
2 1 1 5
Direct
0.000 0.000 0.230
0.000 0.000 0.770
0.500 0.500 0.500
0.500 0.500 0.000
0.000 0.000 0.500
0.000 0.500 0.000
0.500 0.000 0.000
0.500 0.500 0.252
0.500 0.500 0.748



[2]
PBE-GGA NaNpPa2S8, relaxed; spin magnetization = 2.0 μB per formula unit; DOS at the Fermi energy = 6.95 states/eV per cell; E_tot = -6.802 eV per atom; V = 322 Å³/f.u.; formation energy from raw total energies = -1.28 eV/atom
1.0
6.189 0.000 0.000
0.000 8.201 0.000
-0.155 0.000 6.340
Na Np Pa S
1 1 2 8
Direct
0.000 0.000 0.000
0.000 0.500 0.000
0.500 0.248 0.500
0.500 0.752 0.500
0.231 0.272 0.171
0.231 0.728 0.171
0.280 0.500 0.670
0.290 0.000 0.651
0.710 0.000 0.349
0.720 0.500 0.330
0.769 0.272 0.829
0.769 0.728 0.829



[3]
PBE-GGA NaNpPaS4, relaxed; spin magnetization = 5.0 μB per formula unit; DOS at the Fermi energy = 20.59 states/eV per cell; E_tot = -7.203 eV per atom; V = 194 Å³/f.u.; formation energy from raw total energies = -1.45 eV/atom
1.0
-4.076 4.097 5.808
4.076 -4.097 5.808
4.076 4.097 -5.808
Na Np Pa S
2 2 2 8
Direct
0.379 0.129 0.250
0.621 0.871 0.750
0.000 0.000 0.500
0.000 0.500 0.000
0.000 0.500 0.500
0.500 0.500 0.000
0.209 0.732 0.477
0.239 0.267 0.528
0.239 0.711 0.972
0.245 0.268 0.977
0.755 0.732 0.023
0.761 0.289 0.028
0.761 0.733 0.472
0.791 0.268 0.523



[4]
PBE-GGA NaNpPaSe4, relaxed; spin magnetization = 5.0 μB per formula unit; DOS at the Fermi energy = 22.01 states/eV per cell; E_tot = -6.631 eV per atom; V = 221 Å³/f.u.; formation energy from raw total energies = -1.25 eV/atom
1.0
-4.257 4.265 6.094
4.257 -4.265 6.094
4.257 4.265 -6.094
Na Np Pa Se
2 2 2 8
Direct
0.372 0.122 0.250
0.628 0.878 0.750
0.000 0.500 0.500
0.500 0.500 0.000
0.000 0.000 0.500
0.000 0.500 0.000
0.216 0.740 0.476
0.232 0.251 0.519
0.232 0.713 0.981
0.236 0.260 0.976
0.764 0.740 0.024
0.768 0.287 0.019
0.768 0.749 0.481
0.784 0.260 0.524



[5]
PBE-GGA Na4Np3PaSe8, relaxed; spin magnetization = 14.0 μB per formula unit; DOS at the Fermi energy = 31.46 states/eV per cell; E_tot = -6.323 eV per atom; V = 421 Å³/f.u.; formation energy from raw total energies = -1.23 eV/atom
1.0
4.158 2.401 7.038
-4.158 2.401 7.038
0.000 -4.801 7.038
Na Np Pa Se
4 3 1 8
Direct
0.000 0.000 0.000
0.000 0.500 0.500
0.500 0.000 0.500
0.500 0.500 0.000
0.000 0.000 0.500
0.000 0.500 0.000
0.500 0.000 0.000
0.500 0.500 0.500
0.244 0.244 0.244
0.249 0.742 0.742
0.258 0.258 0.751
0.258 0.751 0.258
0.742 0.249 0.742
0.742 0.742 0.249
0.751 0.258 0.258
0.756 0.756 0.756



[6]
PBE-GGA Na3Np2PaSe6, relaxed; spin magnetization = 10.0 μB per formula unit; DOS at the Fermi energy = 22.18 states/eV per cell; E_tot = -6.259 eV per atom; V = 316 Å³/f.u.; formation energy from raw total energies = -1.24 eV/atom
1.0
3.595 -6.226 0.000
3.595 6.226 0.000
-2.397 0.000 7.062
Na Np Pa Se
3 2 1 6
Direct
0.000 0.000 0.000
0.332 0.668 0.000
0.668 0.332 0.000
0.167 0.833 0.500
0.833 0.167 0.500
0.500 0.500 0.500
0.093 0.422 0.265
0.249 0.249 0.734
0.422 0.093 0.265
0.578 0.907 0.735
0.751 0.751 0.266
0.907 0.578 0.735



[7]
PBE-GGA Na4NpPa3Se8, relaxed; spin magnetization = 10.0 μB per formula unit; DOS at the Fermi energy = 19.44 states/eV per cell; E_tot = -5.919 eV per atom; V = 418 Å³/f.u.; formation energy from raw total energies = -1.26 eV/atom
1.0
4.095 2.364 7.200
-4.095 2.364 7.200
0.000 -4.729 7.200
Na Np Pa Se
4 1 3 8
Direct
0.000 0.000 0.000
0.000 0.500 0.500
0.500 0.000 0.500
0.500 0.500 0.000
0.500 0.500 0.500
0.000 0.000 0.500
0.000 0.500 0.000
0.500 0.000 0.000
0.243 0.747 0.747
0.246 0.246 0.246
0.253 0.253 0.757
0.253 0.757 0.253
0.747 0.243 0.747
0.747 0.747 0.243
0.754 0.754 0.754
0.757 0.253 0.253



[8]
PBE-GGA Na2Np2PaSe6, relaxed; spin magnetization = 9.0 μB per formula unit; DOS at the Fermi energy = 23.63 states/eV per cell; E_tot = -6.600 eV per atom; V = 318 Å³/f.u.; formation energy from raw total energies = -1.24 eV/atom
1.0
3.615 -6.233 0.000
3.615 6.233 0.000
-2.411 0.000 7.046
Na Np Pa Se
2 2 1 6
Direct
0.169 0.831 0.000
0.831 0.169 0.000
0.335 0.665 0.500
0.665 0.335 0.500
0.000 0.000 0.500
0.074 0.403 0.727
0.249 0.249 0.272
0.403 0.074 0.727
0.597 0.926 0.273
0.751 0.751 0.728
0.926 0.597 0.273



[9]
PBE-GGA Na3NpPa2Te6, relaxed; spin magnetization = 8.0 μB per formula unit; DOS at the Fermi energy = 19.97 states/eV per cell; E_tot = -5.406 eV per atom; V = 385 Å³/f.u.; formation energy from raw total energies = -0.84 eV/atom
1.0
9.994 -2.181 0.000
9.994 2.181 0.000
-2.845 0.000 8.822
Na Np Pa Te
3 1 2 6
Direct
0.000 0.000 0.000
0.335 0.335 0.664
0.665 0.665 0.336
0.000 0.000 0.500
0.332 0.332 0.164
0.668 0.668 0.836
0.166 0.166 0.594
0.169 0.169 0.079
0.495 0.495 0.254
0.505 0.505 0.746
0.831 0.831 0.921
0.834 0.834 0.406



[10]
PBE-GGA Na2NpPaTe4, relaxed; spin magnetization = 6.0 μB per formula unit; DOS at the Fermi energy = 14.03 states/eV per cell; E_tot = -5.546 eV per atom; V = 257 Å³/f.u.; formation energy from raw total energies = -0.84 eV/atom
1.0
7.618 0.000 0.000
0.000 4.387 0.000
-2.517 0.000 7.696
Na Np Pa Te
2 1 1 4
Direct
0.000 0.000 0.000
0.500 0.500 0.000
0.000 0.500 0.500
0.500 0.000 0.500
0.249 0.000 0.738
0.257 0.500 0.262
0.743 0.500 0.738
0.751 0.000 0.262



[11]
PBE-GGA Na4Np3PbS8, relaxed; spin magnetization = 11.0 μB per formula unit; DOS at the Fermi energy = 31.64 states/eV per cell; E_tot = -6.293 eV per atom; V = 383 Å³/f.u.; formation energy from raw total energies = -1.24 eV/atom
1.0
4.086 2.359 6.623
-4.086 2.359 6.623
0.000 -4.718 6.623
Na Np Pb S
4 3 1 8
Direct
0.000 0.000 0.000
0.000 0.500 0.500
0.500 0.000 0.500
0.500 0.500 0.000
0.000 0.000 0.500
0.000 0.500 0.000
0.500 0.000 0.000
0.500 0.500 0.500
0.224 0.753 0.753
0.241 0.241 0.241
0.247 0.247 0.776
0.247 0.776 0.247
0.753 0.224 0.753
0.753 0.753 0.224
0.759 0.759 0.759
0.776 0.247 0.247



[12]
PBE-GGA NaNpPb2S4, relaxed; spin magnetization = 4.0 μB per formula unit; DOS at the Fermi energy = 10.60 states/eV per cell; E_tot = -5.664 eV per atom; V = 201 Å³/f.u.; formation energy from raw total energies = -0.89 eV/atom
1.0
7.104 0.000 0.000
0.000 4.129 0.000
-2.307 0.000 6.840
Na Np Pb S
1 1 2 4
Direct
0.000 0.000 0.000
0.500 0.500 0.000
0.000 0.500 0.500
0.500 0.000 0.500
0.258 0.500 0.234
0.269 0.000 0.776
0.731 0.000 0.224
0.742 0.500 0.766